P) Entry from Alexandria via LeMat-Bulk: a crystal of YHg2Os relaxed with PBEsol (SCAN).

Computed properties:
As for the crystal system: cubic. The calculation puts the density at 14.47 g/cm3.

abc: 4.797 4.797 4.797
angles: 60.00 60.00 60.00
Fractional positions:
1 Hg 0.250 0.250 0.250
2 Hg 0.750 0.750 0.750
3 Os 0.000 0.000 0.000
4 Y 0.500 0.500 0.500


Q) Entry from Alexandria via LeMat-Bulk: a crystal of YHg2Os relaxed with PBEsol (SCAN).

Computed properties:
As for the crystal system: trigonal. The calculation puts the density at 14.40 g/cm3.

abc: 3.039 3.039 9.961
angles: 81.22 81.22 60.00
Fractional positions:
1 Hg 0.244 0.244 0.269
2 Hg 0.756 0.756 0.731
3 Os 0.500 0.500 0.500
4 Y 0.000 0.000 0.000


Stability check: which of them is most stable? P).


P) Entry from Alexandria via LeMat-Bulk: a crystal of ZnHgOs relaxed with PBEsol (SCAN).

Computed properties:
As for the crystal system: tetragonal. The calculation puts the density at 15.84 g/cm3.

abc: 2.846 2.846 6.239
angles: 103.18 103.18 90.00
Fractional positions:
1 Hg 0.002 0.002 0.003
2 Os 0.679 0.679 0.357
3 Zn 0.320 0.320 0.640


Q) Entry from Alexandria via LeMat-Bulk: a crystal of ZnHgOs relaxed with PBEsol (SCAN).

Computed properties:
As for the crystal system: trigonal. The calculation puts the density at 15.87 g/cm3.

abc: 2.848 2.848 6.795
angles: 90.00 90.00 120.00
Fractional positions:
1 Hg 0.000 0.000 0.003
2 Os 0.667 0.333 0.646
3 Zn 0.333 0.667 0.351


Stability check: which of them is most stable? Q).


P) Entry from Alexandria via LeMat-Bulk: a crystal of HgP3 relaxed with PBEsol (SCAN).

Computed properties:
As for the crystal system: cubic. The calculation puts the density at 7.13 g/cm3.

abc: 4.090 4.090 4.090
angles: 90.00 90.00 90.00
Fractional positions:
1 Hg 0.000 0.000 0.000
2 P 0.000 0.500 0.500
3 P 0.500 0.000 0.500
4 P 0.500 0.500 0.000


Q) Entry from Alexandria via LeMat-Bulk: a crystal of HgP3 relaxed with PBEsol (SCAN).

Computed properties:
As for the crystal system: cubic. The calculation puts the density at 7.13 g/cm3.

abc: 5.152 5.152 5.152
angles: 90.00 90.00 90.00
Fractional positions:
1 Hg 0.000 0.000 0.000
2 Hg 0.500 0.500 0.500
3 P 0.750 0.500 0.000
4 P 0.250 0.500 0.000
5 P 0.000 0.750 0.500
6 P 0.000 0.250 0.500
7 P 0.500 0.000 0.250
8 P 0.500 0.000 0.750


Stability check: which of them is most stable? P).


P) Entry from Alexandria via LeMat-Bulk: a crystal of HgPPb relaxed with PBEsol (SCAN).

Computed properties:
As for the crystal system: trigonal. The calculation puts the density at 10.16 g/cm3.

abc: 4.057 4.057 5.032
angles: 90.00 90.00 120.00
Fractional positions:
1 Hg 0.000 0.000 0.949
2 P 0.333 0.667 0.681
3 Pb 0.667 0.333 0.371


Q) Entry from Alexandria via LeMat-Bulk: a crystal of HgPPb relaxed with PBEsol (SCAN).

Computed properties:
As for the crystal system: cubic. The calculation puts the density at 8.98 g/cm3.

abc: 4.859 4.859 4.859
angles: 60.00 60.00 60.00
Fractional positions:
1 Hg 0.000 0.000 0.000
2 P 0.500 0.500 0.500
3 Pb 0.750 0.750 0.750


Stability check: which of them is most stable? P).


P) Entry from Alexandria via LeMat-Bulk: a crystal of Sc2HgP relaxed with PBEsol (SCAN).

Computed properties:
As for the crystal system: tetragonal. The calculation puts the density at 7.19 g/cm3.

abc: 3.374 3.374 6.523
angles: 90.00 90.00 90.00
Fractional positions:
1 Hg 0.500 0.500 0.000
2 P 0.500 0.500 0.500
3 Sc 0.000 0.000 0.718
4 Sc 0.000 0.000 0.282


Q) Entry from Alexandria via LeMat-Bulk: a crystal of Sc2HgP relaxed with PBEsol (SCAN).

Computed properties:
As for the crystal system: trigonal. The calculation puts the density at 6.53 g/cm3.

abc: 3.613 3.613 7.525
angles: 76.11 76.11 60.00
Fractional positions:
1 Sc 0.265 0.265 0.205
2 Sc 0.735 0.735 0.795
3 P 0.000 0.000 0.000
4 Hg 0.500 0.500 0.500


Stability check: which of them is most stable? Q).


P) Entry from Alexandria via LeMat-Bulk: a crystal of Sc2HgP relaxed with PBEsol (SCAN).

Computed properties:
As for the crystal system: cubic. The calculation puts the density at 6.91 g/cm3.

abc: 4.779 4.779 4.779
angles: 60.00 60.00 60.00
Fractional positions:
1 Hg 0.500 0.500 0.500
2 P 0.750 0.750 0.750
3 Sc 0.000 0.000 0.000
4 Sc 0.250 0.250 0.250


Q) Entry from Alexandria via LeMat-Bulk: a crystal of Sc2HgP relaxed with PBEsol (SCAN).

Computed properties:
As for the crystal system: orthorhombic. The calculation puts the density at 7.04 g/cm3.

abc: 3.224 3.224 7.403
angles: 90.00 90.00 99.66
Fractional positions:
1 Hg 0.500 0.500 0.500
2 P 0.500 0.500 0.000
3 Sc 0.000 0.000 0.213
4 Sc 0.000 0.000 0.787


Stability check: which of them is most stable? Q).


P) Entry from Alexandria via LeMat-Bulk: a crystal of Ta2HgP relaxed with PBEsol (SCAN).

Computed properties:
As for the crystal system: tetragonal. The calculation puts the density at 14.52 g/cm3.

abc: 3.906 3.906 5.236
angles: 111.90 111.90 90.00
Fractional positions:
1 Hg 0.500 0.500 0.000
2 P 0.250 0.750 0.500
3 Ta 0.000 0.000 0.000
4 Ta 0.750 0.250 0.500


Q) Entry from Alexandria via LeMat-Bulk: a crystal of Ta2HgP relaxed with PBEsol (SCAN).

Computed properties:
As for the crystal system: tetragonal. The calculation puts the density at 14.93 g/cm3.

abc: 3.016 4.678 4.678
angles: 90.05 90.00 90.00
Fractional positions:
1 Hg 0.500 0.000 0.000
2 P 0.500 0.500 0.500
3 Ta 0.000 0.500 0.000
4 Ta 0.000 0.000 0.500


Stability check: which of them is most stable? Q).


P) Entry from Alexandria via LeMat-Bulk: a crystal of Tc2HgP relaxed with PBEsol (SCAN).

Computed properties:
As for the crystal system: trigonal. The calculation puts the density at 10.71 g/cm3.

abc: 3.552 3.552 6.403
angles: 73.90 73.90 60.00
Fractional positions:
1 Hg 0.500 0.500 0.500
2 P 0.000 0.000 0.000
3 Tc 0.722 0.722 0.835
4 Tc 0.278 0.278 0.165


Q) Entry from Alexandria via LeMat-Bulk: a crystal of Tc2HgP relaxed with PBEsol (SCAN).

Computed properties:
As for the crystal system: orthorhombic. The calculation puts the density at 11.53 g/cm3.

abc: 3.000 4.354 4.713
angles: 90.00 90.00 90.00
Fractional positions:
1 Hg 0.500 0.500 0.000
2 P 0.000 0.500 0.500
3 Tc 0.000 0.000 0.000
4 Tc 0.500 0.000 0.500


R) Entry from Alexandria via LeMat-Bulk: a crystal of Tc2HgP relaxed with PBEsol (SCAN).

Computed properties:
As for the crystal system: cubic. The calculation puts the density at 12.19 g/cm3.

abc: 4.351 4.351 4.351
angles: 60.00 60.00 60.00
Fractional positions:
1 Hg 0.500 0.500 0.500
2 P 0.000 0.000 0.000
3 Tc 0.250 0.250 0.250
4 Tc 0.750 0.750 0.750


Stability check: which of them is most stable? P).